Computed, not measured: Be2CrRu after structural relaxation at the PBE level of DFT.

DOS(E_F) (states/eV/cell): 3.52
Calculated volume (A^3/atom): 11.172
Space group: R-3m, No. 166
Formation energy from the elements (eV/atom): 0.18
Electronic total energy (eV/cell): -25.63

Unit cell a=7.829 b=7.829 c=7.829 alpha=19.05 beta=19.05 gamma=19.05
Fractional positions:
Cr: 0.250 0.250 0.250
Be: 0.499 0.499 0.499
Ru: 0.750 0.750 0.750
Be: 0.001 0.001 0.001